Below is a relaxed InSeF3 crystal, with properties calculated at the PBEsol level.

Results
V: 17.441 A^3/atom
total magnetization: 0.0 Bohr magnetons per cell
offset from the most stable computed form: 333 meV per atom
formation energy without anion corrections: -1071 meV/atom

abc: 4.4345 4.4345 4.4345
angles: 90.00 90.00 90.00
Fractional coordinates of all 5 atoms:
In (0.5000, 0.5000, 0.5000)
F (0.0000, 0.5000, 0.0000)
F (0.0000, 0.0000, 0.5000)
F (0.5000, 0.0000, 0.0000)
Se (0.0000, 0.0000, 0.0000)